Density functional theory data (PBE) for a relaxed Dy2Y3Tm5 crystal.

a = 9.4372 Å, b = 9.4177 Å, c = 11.0302 Å
α = 125.86°, β = 125.90°, γ = 68.20°
Last column: nearest neighbours and their distance in Å.
Element x y z (fractional)
Tm 0.2698 0.5198 0.0395  1 Tm 3.19, 4 Y 3.28-3.50, 2 Dy 3.48
Dy 0.4749 0.7171 0.7410  2 Y 3.16-3.28, 5 Tm 3.26-3.49
Dy 0.7661 0.0239 0.7410  2 Y 3.16-3.28, 5 Tm 3.26-3.49
Y 0.7271 0.4858 0.2594  1 Dy 3.16, 6 Tm 3.28-3.50
Y 0.7685 0.0185 0.0370  1 Tm 3.15, 2 Dy 3.28
Tm 0.9706 0.2206 0.4412  5 Y 3.15-3.43, 2 Dy 3.42, 2 Tm 3.45
Tm 0.4744 0.7244 0.4488  3 Tm 3.19-3.42, 4 Dy 3.26-3.38, 2 Y 3.39
Y 0.2315 0.9815 0.9630  1 Tm 3.15, 2 Dy 3.28
Tm 0.3557 0.1069 0.7261  3 Tm 3.42-3.59, 3 Y 3.48-3.59, 2 Dy 3.49-3.58
Tm 0.0294 0.7794 0.5588  5 Y 3.15-3.43, 2 Dy 3.42, 2 Tm 3.45
Tm 0.7302 0.4802 0.9605  1 Tm 3.19, 4 Y 3.28-3.50, 2 Dy 3.48
Tm 0.6443 0.8931 0.2739  3 Tm 3.42-3.59, 3 Y 3.48-3.59, 2 Dy 3.49-3.58
Y 0.0323 0.7736 0.2594  1 Dy 3.16, 6 Tm 3.28-3.50
Tm 0.8704 0.6192 0.7261  3 Tm 3.42-3.59, 3 Y 3.48-3.59, 2 Dy 3.49-3.58
Tm 0.5256 0.2756 0.5512  3 Tm 3.19-3.42, 4 Dy 3.26-3.38, 2 Y 3.39
Tm 0.1296 0.3808 0.2739  3 Tm 3.42-3.59, 3 Y 3.48-3.59, 2 Dy 3.49-3.58
Y 0.9677 0.2264 0.7406  1 Dy 3.16, 6 Tm 3.28-3.50
Dy 0.2339 0.9761 0.2590  2 Y 3.16-3.28, 5 Tm 3.26-3.49
Y 0.2729 0.5142 0.7406  1 Dy 3.16, 6 Tm 3.28-3.50
Dy 0.5251 0.2829 0.2590  2 Y 3.16-3.28, 5 Tm 3.26-3.49

Properties
Raw total energy, eV per atom: -4.89
ρ, g/cm³: 7.4
Energy of formation, eV/atom: 0.203
Polymorph energy (0 for the lowest one), meV/atom: 0.0

Density functional theory data (PBE) for a relaxed Dy6Y2Tm crystal.

a = 5.0127 Å, b = 10.6262 Å, c = 10.6261 Å
α = 90.00°, β = 90.00°, γ = 90.00°
Last column: nearest neighbours and their distance in Å.
Element x y z (fractional)
Dy 0.9999 0.6665 0.8337  4 Y 3.53-3.55, 2 Tm 3.54, 6 Dy 3.54-3.55
Dy 0.0000 0.0001 0.8336  8 Dy 3.54-3.55, 3 Y 3.54-3.55, 1 Tm 3.54
Tm 0.0000 0.0000 0.5000  4 Y 3.54, 8 Dy 3.54
Dy 0.0001 0.3336 0.4999  8 Dy 3.54-3.55, 1 Tm 3.54, 3 Y 3.55
Y 0.5001 0.1662 0.3337  10 Dy 3.53-3.55, 2 Tm 3.54
Y 0.0001 0.3338 0.8337  10 Dy 3.53-3.55, 2 Tm 3.54
Dy 0.4999 0.8336 0.0001  8 Dy 3.54-3.55, 1 Tm 3.54, 3 Y 3.55
Dy 0.5001 0.1664 0.6663  4 Y 3.53-3.55, 2 Tm 3.54, 6 Dy 3.54-3.55
Dy 0.5001 0.1664 0.9999  8 Dy 3.54-3.55, 1 Tm 3.54, 3 Y 3.55
Dy 0.0001 0.3335 0.1663  4 Y 3.53-3.55, 2 Tm 3.54, 6 Dy 3.54-3.55
Y 0.4999 0.8338 0.6663  10 Dy 3.53-3.55, 2 Tm 3.54
Dy 0.4999 0.8336 0.3337  4 Y 3.53-3.55, 2 Tm 3.54, 6 Dy 3.54-3.55
Dy 0.5000 0.5001 0.6664  8 Dy 3.54-3.55, 3 Y 3.54-3.55, 1 Tm 3.54
Dy 0.9999 0.6664 0.5001  8 Dy 3.54-3.55, 1 Tm 3.54, 3 Y 3.55
Dy 0.0000 0.9999 0.1664  8 Dy 3.54-3.55, 3 Y 3.54-3.55, 1 Tm 3.54
Y 0.9999 0.6662 0.1663  10 Dy 3.53-3.55, 2 Tm 3.54
Dy 0.5000 0.4999 0.3336  8 Dy 3.54-3.55, 3 Y 3.54-3.55, 1 Tm 3.54
Tm 0.5000 0.5000 0.0000  4 Y 3.54, 8 Dy 3.54

Properties
Raw total energy, eV per atom: -4.98
ρ, g/cm³: 7.8
Energy of formation, eV/atom: 0.022

no.,total magnetization (μB/f.u.)
1,0.00
2,0.00